[1]
Ba2GePdS4, optimized geometry, DFT PBE-GGA; E_form (uncorrected) = -1058 meV/atom; crystal system = orthorhombic; total magnetic moment = 0.0 μB per cell
1.0
0.000 7.159 12.257
2.421 0.000 12.257
2.421 7.159 0.000
Ba Ge Pd S
4 2 2 8
direct
0.046 0.046 0.704
0.296 0.296 0.954
0.704 0.704 0.046
0.954 0.954 0.296
0.375 0.375 0.375
0.625 0.625 0.625
0.125 0.125 0.125
0.875 0.875 0.875
0.029 0.345 0.435
0.310 0.565 0.655
0.345 0.029 0.690
0.435 0.690 0.029
0.565 0.310 0.971
0.655 0.971 0.310
0.690 0.435 0.345
0.971 0.655 0.565

***

[2]
Ba2GeSbPd6, optimized geometry, DFT PBE-GGA; E_form (uncorrected) = -622 meV/atom; crystal system = monoclinic; total magnetic moment = 0.0 μB per cell
1.0
6.217 -2.937 0.000
6.217 2.937 0.000
-5.296 0.000 6.472
Ba Ge Sb Pd
2 1 1 6
direct
0.247 0.247 0.293
0.753 0.753 0.707
0.500 0.500 0.000
0.000 0.000 0.500
0.224 0.711 0.211
0.254 0.254 0.873
0.289 0.776 0.789
0.711 0.224 0.211
0.746 0.746 0.127
0.776 0.289 0.789

***

[3]
Ba2GeSb3Pd4, optimized geometry, DFT PBE-GGA; E_form (uncorrected) = -764 meV/atom; crystal system = tetragonal; total magnetic moment = 0.0 μB per cell
1.0
4.718 0.000 0.000
0.000 4.718 0.000
0.000 0.000 10.843
Ba Ge Sb Pd
2 1 3 4
direct
0.000 0.500 0.250
0.500 0.000 0.750
0.000 0.000 0.500
0.000 0.500 0.873
0.500 0.000 0.127
0.500 0.500 0.500
0.000 0.000 0.000
0.000 0.500 0.619
0.500 0.000 0.381
0.500 0.500 0.000

***

[4]
Ba2SiGePd6, optimized geometry, DFT PBE-GGA; E_form (uncorrected) = -565 meV/atom; crystal system = trigonal; total magnetic moment = 0.0 μB per cell
1.0
3.231 1.866 11.810
-3.231 1.866 11.810
0.000 -3.731 11.810
Ba Si Ge Pd
4 2 2 12
direct
0.110 0.110 0.110
0.282 0.282 0.282
0.718 0.718 0.718
0.890 0.890 0.890
0.000 0.000 0.000
0.500 0.500 0.500
0.422 0.422 0.422
0.578 0.578 0.578
0.093 0.655 0.655
0.220 0.220 0.650
0.220 0.650 0.220
0.345 0.345 0.907
0.345 0.907 0.345
0.350 0.780 0.780
0.650 0.220 0.220
0.655 0.093 0.655
0.655 0.655 0.093
0.780 0.350 0.780
0.780 0.780 0.350
0.907 0.345 0.345

***

[5]
Ba2SnGe3Pd4, optimized geometry, DFT PBE-GGA; ΔE_f = -0.659 eV per atom; crystal system = tetragonal; total magnetic moment = 0.0 μB per cell
1.0
4.583 0.000 0.000
0.000 4.583 0.000
0.000 0.000 10.647
Ba Sn Ge Pd
2 1 3 4
direct
0.000 0.500 0.245
0.500 0.000 0.755
0.000 0.000 0.500
0.000 0.500 0.887
0.500 0.000 0.113
0.500 0.500 0.500
0.000 0.000 0.000
0.000 0.500 0.638
0.500 0.000 0.362
0.500 0.500 0.000

***

[6]
BaSnGePd2, optimized geometry, DFT PBE-GGA; ΔE_f = -0.161 eV per atom; crystal system = tetragonal; total magnetic moment = 0.0 μB per cell
1.0
5.140 0.000 0.000
0.000 5.140 0.000
0.000 0.000 5.286
Ba Sn Ge Pd
1 1 1 2
direct
0.000 0.000 0.000
0.500 0.500 0.500
0.500 0.500 0.000
0.000 0.500 0.500
0.500 0.000 0.500

***

[7]
Ba2Sn4GePd3, optimized geometry, DFT PBE-GGA; ΔE_f = -0.635 eV per atom; crystal system = tetragonal; total magnetic moment = 0.0 μB per cell
1.0
4.794 0.000 0.000
0.000 4.794 0.000
0.000 0.000 11.098
Ba Sn Ge Pd
2 4 1 3
direct
0.000 0.500 0.247
0.500 0.000 0.753
0.000 0.000 0.500
0.000 0.500 0.868
0.500 0.000 0.132
0.500 0.500 0.500
0.500 0.500 0.000
0.000 0.000 0.000
0.000 0.500 0.623
0.500 0.000 0.377

***

[8]
Ba2Sn3GePd4, optimized geometry, DFT PBE-GGA; ΔE_f = -0.680 eV per atom; crystal system = tetragonal; total magnetic moment = 0.0 μB per cell
1.0
4.747 0.000 0.000
0.000 4.747 0.000
0.000 0.000 10.790
Ba Sn Ge Pd
2 3 1 4
direct
0.000 0.500 0.246
0.500 0.000 0.754
0.000 0.000 0.000
0.000 0.500 0.620
0.500 0.000 0.380
0.500 0.500 0.000
0.000 0.000 0.500
0.000 0.500 0.878
0.500 0.000 0.122
0.500 0.500 0.500